No. 1
This record from Alexandria describes GdThScAl after structural relaxation. The functional is GGA-PBE.

Cell lengths 5.295, 5.295, 5.295 Å; angles 60.00, 60.00, 60.00 degrees
Fractional positions:
Gd 0.000 0.000 0.000
Th 0.500 0.500 0.500
Sc 0.750 0.750 0.750
Al 0.250 0.250 0.250


No. 2
This record from Alexandria describes GdScTiAl after structural relaxation. The functional is GGA-PBE.

Cell lengths 5.004, 5.004, 5.004 Å; angles 60.00, 60.00, 60.00 degrees
Fractional positions:
Gd 0.000 0.000 0.000
Sc 0.500 0.500 0.500
Ti 0.750 0.750 0.750
Al 0.250 0.250 0.250


No. 3
This record from Alexandria describes GdYScAl after structural relaxation. The functional is GGA-PBE.

Cell lengths 5.254, 5.254, 5.254 Å; angles 60.00, 60.00, 60.00 degrees
Fractional positions:
Gd 0.000 0.000 0.000
Y 0.500 0.500 0.500
Sc 0.750 0.750 0.750
Al 0.250 0.250 0.250


no.,E_form (eV/atom),uncorrected energy (eV per cell),calculated volume (Å³ per cell)
1,-0.07,-31.844,105
2,-0.07,-32.346,89
3,-0.12,-31.096,103